(1)
## Mn2MoRuC (GGA-PBE)

Data for an optimized crystal structure of Mn2MoRuC.

Lattice parameters (Å, degrees): 3.806 3.806 4.102 90.00 90.00 90.00
Sites, in units of the cell vectors:
1 Mn 0.000 0.500 0.000
2 Mn 0.500 0.000 0.000
3 Mo 0.000 0.000 0.500
4 Ru 0.500 0.500 0.500
5 C 0.000 0.000 0.000

Summary:
The space-group type is P4/mmm (123). Its formation energy is 0.110 eV/atom.

***

(2)
## Mn2SbMoC (GGA-PBE)

Data for an optimized crystal structure of Mn2SbMoC.

Lattice parameters (Å, degrees): 3.935 3.935 4.224 90.00 90.00 90.00
Sites, in units of the cell vectors:
1 Mn 0.000 0.500 0.000
2 Mn 0.500 0.000 0.000
3 Sb 0.000 0.000 0.500
4 Mo 0.500 0.500 0.500
5 C 0.500 0.500 0.000

Summary:
As for the formation energy from raw total energies: 91 meV/atom. The space-group type is P4/mmm (123).

***

(3)
## ScMnMoC2 (GGA-PBE)

Data for an optimized crystal structure of ScMnMoC2.

Lattice parameters (Å, degrees): 6.303 6.303 8.325 129.68 129.68 28.99
Sites, in units of the cell vectors:
1 Sc 0.195 0.195 0.275
2 Sc 0.805 0.805 0.725
3 Mn 0.052 0.052 0.430
4 Mn 0.948 0.948 0.570
5 Mo 0.373 0.373 0.106
6 Mo 0.627 0.627 0.894
7 C 0.167 0.167 0.757
8 C 0.398 0.398 0.635
9 C 0.602 0.602 0.365
10 C 0.833 0.833 0.243

Summary:
The space-group type is C2/m (12). Its formation energy is -0.207 eV/atom.

***

(4)
## ScMnMo2C (GGA-PBE)

Data for an optimized crystal structure of ScMnMo2C.

Lattice parameters (Å, degrees): 4.140 4.140 4.453 90.00 90.00 90.00
Sites, in units of the cell vectors:
1 Sc 0.000 0.000 0.000
2 Mn 0.500 0.500 0.000
3 Mo 0.000 0.500 0.500
4 Mo 0.500 0.000 0.500
5 C 0.000 0.000 0.500

Summary:
The space-group type is P4/mmm (123). Its formation energy is 0.078 eV/atom.

***

(5)
## ScMnMoC3 (GGA-PBE)

Data for an optimized crystal structure of ScMnMoC3.

Lattice parameters (Å, degrees): 6.412 3.169 7.108 90.00 98.35 90.00
Sites, in units of the cell vectors:
1 Sc 0.162 0.250 0.181
2 Sc 0.838 0.750 0.819
3 Mn 0.114 0.250 0.598
4 Mn 0.886 0.750 0.402
5 Mo 0.359 0.750 0.864
6 Mo 0.641 0.250 0.136
7 C 0.118 0.250 0.858
8 C 0.184 0.750 0.499
9 C 0.417 0.750 0.159
10 C 0.583 0.250 0.841
11 C 0.816 0.250 0.501
12 C 0.882 0.750 0.142

Summary:
The space-group type is P2_1/m (11). Its formation energy is 0.041 eV/atom.

***

(6)
## MnSi2MoC (GGA-PBE)

Data for an optimized crystal structure of MnSi2MoC.

Lattice parameters (Å, degrees): 4.729 4.729 3.959 90.00 90.00 90.00
Sites, in units of the cell vectors:
1 Mn 0.000 0.000 0.000
2 Si 0.000 0.500 0.500
3 Si 0.500 0.000 0.500
4 Mo 0.500 0.500 0.500
5 C 0.500 0.500 0.000

Summary:
As for the formation energy from raw total energies: 1622 meV/atom. The space-group type is P4/mmm (123).

***

(7)
## Mn4SiMoC (GGA-PBE)

Data for an optimized crystal structure of Mn4SiMoC.

Lattice parameters (Å, degrees): 6.497 6.497 7.634 90.00 90.00 76.74
Sites, in units of the cell vectors:
1 Mn 0.014 0.688 0.191
2 Mn 0.051 0.949 0.500
3 Mn 0.202 0.554 0.503
4 Mn 0.312 0.986 0.191
5 Mn 0.372 0.379 0.255
6 Mn 0.378 0.622 0.007
7 Mn 0.379 0.372 0.755
8 Mn 0.446 0.798 0.503
9 Mn 0.554 0.202 0.003
10 Mn 0.621 0.628 0.255
11 Mn 0.622 0.378 0.507
12 Mn 0.628 0.621 0.755
13 Mn 0.688 0.014 0.691
14 Mn 0.798 0.446 0.003
15 Mn 0.949 0.051 0.000
16 Mn 0.986 0.312 0.691
17 Si 0.165 0.331 0.006
18 Si 0.331 0.165 0.506
19 Si 0.669 0.835 0.006
20 Si 0.835 0.669 0.506
21 Mo 0.013 0.690 0.818
22 Mo 0.310 0.987 0.818
23 Mo 0.690 0.013 0.318
24 Mo 0.987 0.310 0.318
25 C 0.303 0.697 0.293
26 C 0.318 0.682 0.711
27 C 0.682 0.318 0.211
28 C 0.697 0.303 0.793

Summary:
As for the formation energy from raw total energies: -217 meV/atom. The space-group type is Cmc2_1 (36).

***

(8)
## Mn2SnMoC (GGA-PBE)

Data for an optimized crystal structure of Mn2SnMoC.

Lattice parameters (Å, degrees): 3.943 3.943 4.238 90.00 90.00 90.00
Sites, in units of the cell vectors:
1 Mn 0.000 0.500 0.000
2 Mn 0.500 0.000 0.000
3 Sn 0.000 0.000 0.500
4 Mo 0.500 0.500 0.500
5 C 0.500 0.500 0.000

Summary:
The space-group type is P4/mmm (123). Its formation energy is 0.040 eV/atom.

***

(9)
## MnTcMo2C (GGA-PBE)

Data for an optimized crystal structure of MnTcMo2C.

Lattice parameters (Å, degrees): 4.145 4.145 3.808 90.00 90.00 90.00
Sites, in units of the cell vectors:
1 Mn 0.000 0.000 0.000
2 Tc 0.500 0.500 0.000
3 Mo 0.000 0.500 0.500
4 Mo 0.500 0.000 0.500
5 C 0.000 0.000 0.500

Summary:
The space-group type is P4/mmm (123). Its formation energy is 0.098 eV/atom.

***

(10)
## MnTc2MoC (GGA-PBE)

Data for an optimized crystal structure of MnTc2MoC.

Lattice parameters (Å, degrees): 4.061 4.061 3.842 90.00 90.00 90.00
Sites, in units of the cell vectors:
1 Mn 0.000 0.000 0.000
2 Tc 0.000 0.500 0.500
3 Tc 0.500 0.000 0.500
4 Mo 0.500 0.500 0.000
5 C 0.000 0.000 0.500

Summary:
The space-group type is P4/mmm (123). Its formation energy is 0.069 eV/atom.

***

(11)
## Mn2TcMoC (GGA-PBE)

Data for an optimized crystal structure of Mn2TcMoC.

Lattice parameters (Å, degrees): 3.828 3.828 4.026 90.00 90.00 90.00
Sites, in units of the cell vectors:
1 Mn 0.000 0.500 0.000
2 Mn 0.500 0.000 0.000
3 Tc 0.000 0.000 0.500
4 Mo 0.500 0.500 0.500
5 C 0.000 0.000 0.000

Summary:
The space-group type is P4/mmm (123). Its formation energy is 0.056 eV/atom.

***

(12)
## Mn2TcMoC (GGA-PBE)

Data for an optimized crystal structure of Mn2TcMoC.

Lattice parameters (Å, degrees): 3.814 3.814 4.098 90.00 90.00 90.00
Sites, in units of the cell vectors:
1 Mn 0.000 0.500 0.000
2 Mn 0.500 0.000 0.000
3 Tc 0.000 0.000 0.500
4 Mo 0.500 0.500 0.500
5 C 0.500 0.500 0.000

Summary:
The space-group type is P4/mmm (123). Its formation energy is 0.100 eV/atom.

***

(13)
## ThMnMoC3 (GGA-PBE)

Data for an optimized crystal structure of ThMnMoC3.

Lattice parameters (Å, degrees): 6.882 3.294 7.467 90.00 106.99 90.00
Sites, in units of the cell vectors:
1 Th 0.200 0.250 0.214
2 Th 0.800 0.750 0.786
3 Mn 0.107 0.250 0.607
4 Mn 0.893 0.750 0.393
5 Mo 0.346 0.750 0.869
6 Mo 0.654 0.250 0.131
7 C 0.122 0.250 0.860
8 C 0.181 0.750 0.525
9 C 0.451 0.750 0.162
10 C 0.549 0.250 0.838
11 C 0.819 0.250 0.475
12 C 0.878 0.750 0.140

Summary:
The space-group type is P2_1/m (11). Its formation energy is 0.001 eV/atom.

***

(14)
## MnTlMo2C (GGA-PBE)

Data for an optimized crystal structure of MnTlMo2C.

Lattice parameters (Å, degrees): 5.143 5.143 3.840 90.00 90.00 90.00
Sites, in units of the cell vectors:
1 Mn 0.000 0.000 0.000
2 Tl 0.500 0.500 0.500
3 Mo 0.000 0.500 0.500
4 Mo 0.500 0.000 0.500
5 C 0.500 0.500 0.000

Summary:
The space-group type is P4/mmm (123). Its formation energy is 3.389 eV/atom.

***

(15)
## TmMnMo2C4 (GGA-PBE)

Data for an optimized crystal structure of TmMnMo2C4.

Lattice parameters (Å, degrees): 5.611 5.611 10.621 90.00 90.00 147.17
Sites, in units of the cell vectors:
1 Tm 0.108 0.892 0.750
2 Tm 0.892 0.108 0.250
3 Mn 0.157 0.843 0.250
4 Mn 0.843 0.157 0.750
5 Mo 0.372 0.628 0.538
6 Mo 0.372 0.628 0.962
7 Mo 0.628 0.372 0.038
8 Mo 0.628 0.372 0.462
9 C 0.000 0.000 0.000
10 C 0.000 0.000 0.500
11 C 0.265 0.735 0.117
12 C 0.265 0.735 0.383
13 C 0.434 0.566 0.750
14 C 0.566 0.434 0.250
15 C 0.735 0.265 0.617
16 C 0.735 0.265 0.883

Summary:
The space-group type is Cmcm (63). Its formation energy is -0.063 eV/atom.

***

(16)
## UMnMo2C4 (GGA-PBE)

Data for an optimized crystal structure of UMnMo2C4.

Lattice parameters (Å, degrees): 5.630 5.630 10.524 90.00 90.00 147.23
Sites, in units of the cell vectors:
1 U 0.101 0.899 0.750
2 U 0.899 0.101 0.250
3 Mn 0.158 0.842 0.250
4 Mn 0.842 0.158 0.750
5 Mo 0.373 0.627 0.544
6 Mo 0.373 0.627 0.956
7 Mo 0.627 0.373 0.044
8 Mo 0.627 0.373 0.456
9 C 0.000 0.000 0.000
10 C 0.000 0.000 0.500
11 C 0.271 0.729 0.120
12 C 0.271 0.729 0.380
13 C 0.437 0.563 0.750
14 C 0.563 0.437 0.250
15 C 0.729 0.271 0.620
16 C 0.729 0.271 0.880

Summary:
The space-group type is Cmcm (63). Its formation energy is -0.027 eV/atom.

***

(17)
## U2Mn2MoC4 (GGA-PBE)

Data for an optimized crystal structure of U2Mn2MoC4.

Lattice parameters (Å, degrees): 6.828 6.828 5.426 103.62 103.62 25.55
Sites, in units of the cell vectors:
1 U 0.125 0.125 0.022
2 U 0.875 0.875 0.978
3 Mn 0.321 0.321 0.464
4 Mn 0.679 0.679 0.536
5 Mo 0.000 0.000 0.500
6 C 0.243 0.243 0.735
7 C 0.456 0.456 0.739
8 C 0.544 0.544 0.261
9 C 0.757 0.757 0.265

Summary:
The space-group type is C2/m (12). Its formation energy is -0.096 eV/atom.

***

(18)
## UMnMoC3 (GGA-PBE)

Data for an optimized crystal structure of UMnMoC3.

Lattice parameters (Å, degrees): 6.672 3.072 7.394 90.00 102.33 90.00
Sites, in units of the cell vectors:
1 U 0.177 0.250 0.203
2 U 0.823 0.750 0.797
3 Mn 0.120 0.250 0.602
4 Mn 0.880 0.750 0.398
5 Mo 0.349 0.750 0.872
6 Mo 0.651 0.250 0.128
7 C 0.117 0.250 0.867
8 C 0.183 0.750 0.474
9 C 0.432 0.750 0.165
10 C 0.568 0.250 0.835
11 C 0.817 0.250 0.526
12 C 0.883 0.750 0.133

Summary:
The space-group type is P2_1/m (11). Its formation energy is -0.015 eV/atom.

***

(19)
## YMn2MoC (GGA-PBE)

Data for an optimized crystal structure of YMn2MoC.

Lattice parameters (Å, degrees): 4.395 4.395 5.681 90.00 90.00 90.00
Sites, in units of the cell vectors:
1 Y 0.000 0.000 0.000
2 Mn 0.000 0.500 0.500
3 Mn 0.500 0.000 0.500
4 Mo 0.000 0.000 0.500
5 C 0.500 0.500 0.000

Summary:
The space-group type is P4/mmm (123). Its formation energy is 1.975 eV/atom.

***

(20)
## Mn2ZnMoC (GGA-PBE)

Data for an optimized crystal structure of Mn2ZnMoC.

Lattice parameters (Å, degrees): 3.842 3.842 4.210 90.00 90.00 90.00
Sites, in units of the cell vectors:
1 Mn 0.000 0.500 0.000
2 Mn 0.500 0.000 0.000
3 Zn 0.000 0.000 0.500
4 Mo 0.500 0.500 0.500
5 C 0.500 0.500 0.000

Summary:
The space-group type is P4/mmm (123). Its formation energy is 0.089 eV/atom.

***

E across the listed records, respectively: -47.12; -42.06; -91.63; -46.00; -107.52; -31.96; -254.70; -42.20; -49.93; -49.61; -48.48; -48.26; -110.17; -25.48; -145.40; -158.46; -89.51; -118.10; -34.99; -39.22 eV/cell.